Material: LaErPdPb
Method: DFT, PBE
State: relaxed

## Properties
**Calculated formation energy**: -0.59 eV/atom

The structure in POSCAR format:
```
LaErPdPb
1.0
0.000 3.768 3.768
3.768 0.000 3.768
3.768 3.768 0.000
La Er Pd Pb
1 1 1 1
direct
0.000 0.000 0.000
0.500 0.500 0.500
0.750 0.750 0.750
0.250 0.250 0.250
```

Material: LaPmErPb
Method: DFT, PBE
State: relaxed

## Properties
**Calculated formation energy**: -0.16 eV/atom

The structure in POSCAR format:
```
LaPmErPb
1.0
0.000 3.975 3.975
3.975 0.000 3.975
3.975 3.975 0.000
La Pm Er Pb
1 1 1 1
direct
0.000 0.000 0.000
0.500 0.500 0.500
0.750 0.750 0.750
0.250 0.250 0.250
```

Material: La3ErPb2S
Method: DFT, PBE
State: relaxed

## Properties
**Energy relative to the elements, uncorrected**: -881 meV/atom

The structure in POSCAR format:
```
La3ErPb2S
1.0
-2.563 2.671 8.510
2.563 -2.671 8.510
2.563 2.671 -8.510
La Er Pb S
3 1 2 1
direct
0.000 0.000 0.000
0.331 0.831 0.500
0.669 0.169 0.500
0.500 0.500 0.000
0.135 0.635 0.500
0.865 0.365 0.500
0.500 0.000 0.500
```